This record from Alexandria describes a relaxed LaHf3Al crystal. The functional is PBE.

Cell lengths 5.1320, 5.1320, 5.1320 Å; angles 90.00, 90.00, 90.00 degrees
Last column: nearest neighbours and their distance in Å.
Space group Pm-3m (No. 221)
Inequivalent atoms, fractional coordinates:
La (0.0000, 0.0000, 0.0000) x1  12 Hf 3.63
Hf (0.0000, 0.5000, 0.5000) x3  2 Al 2.57
Al (0.5000, 0.5000, 0.5000) x1  6 Hf 2.57

Output
final energy: -7.1004 eV per atom
DOS at the Fermi energy: 12.220 states/eV/f.u.
formation enthalpy at 0 K: 0.61 eV per atom
ΔE to the lowest computed polymorph: 0 meV/atom
volume: 27.03 Å³ per atom
M_tot: 0.0 Bohr magnetons per cell